! Dy3Zn6Au5, optimized geometry, DFT PBE; values from VASP
! - SG = Pmmn, No. 59
! - magnetic moment (μB/cell) = 0.00
! - raw total energy (eV/cell) = -91.15
&SYSTEM
  ibrav = 0, nat = 28, ntyp = 3
/
ATOMIC_SPECIES
Dy 162.50 Dy.upf
Zn 65.41 Zn.upf
Au 196.97 Au.upf
ATOMIC_POSITIONS crystal
Dy 0.2500 0.0505 0.2485
Dy 0.2500 0.4495 0.2485
Dy 0.2500 0.7500 0.2473
Dy 0.7500 0.2500 0.7527
Dy 0.7500 0.5505 0.7515
Dy 0.7500 0.9495 0.7515
Zn 0.2500 0.0785 0.9062
Zn 0.2500 0.2500 0.0679
Zn 0.2500 0.2500 0.4478
Zn 0.2500 0.4215 0.9062
Zn 0.2500 0.5997 0.5222
Zn 0.2500 0.9003 0.5222
Zn 0.7500 0.0997 0.4778
Zn 0.7500 0.4003 0.4778
Zn 0.7500 0.5785 0.0938
Zn 0.7500 0.7500 0.5522
Zn 0.7500 0.7500 0.9321
Zn 0.7500 0.9215 0.0938
Au 0.2500 0.0963 0.6326
Au 0.2500 0.4037 0.6326
Au 0.2500 0.6262 0.9663
Au 0.2500 0.7500 0.7149
Au 0.2500 0.8738 0.9663
Au 0.7500 0.1262 0.0337
Au 0.7500 0.2500 0.2851
Au 0.7500 0.3738 0.0337
Au 0.7500 0.5963 0.3674
Au 0.7500 0.9037 0.3674
CELL_PARAMETERS angstrom
4.4401 0.0000 0.0000
0.0000 12.8567 0.0000
0.0000 0.0000 9.4012

***

! Dy2Zn12Au5, optimized geometry, DFT PBE; values from VASP
! - SG = R-3m, No. 166
! - magnetic moment (μB/cell) = 0.00
! - raw total energy (eV/cell) = -46.10
&SYSTEM
  ibrav = 0, nat = 19, ntyp = 3
/
ATOMIC_SPECIES
Dy 162.50 Dy.upf
Zn 65.41 Zn.upf
Au 196.97 Au.upf
ATOMIC_POSITIONS crystal
Dy 0.1642 0.1642 0.1642
Dy 0.8358 0.8358 0.8358
Zn 0.1451 0.1451 0.6701
Zn 0.1451 0.6701 0.1451
Zn 0.1969 0.5000 0.8031
Zn 0.1969 0.8031 0.5000
Zn 0.3299 0.8549 0.8549
Zn 0.5000 0.1969 0.8031
Zn 0.5000 0.8031 0.1969
Zn 0.6701 0.1451 0.1451
Zn 0.8031 0.1969 0.5000
Zn 0.8031 0.5000 0.1969
Zn 0.8549 0.3299 0.8549
Zn 0.8549 0.8549 0.3299
Au 0.0000 0.5000 0.5000
Au 0.3941 0.3941 0.3941
Au 0.5000 0.0000 0.5000
Au 0.5000 0.5000 0.0000
Au 0.6059 0.6059 0.6059
CELL_PARAMETERS angstrom
4.6241 2.6697 4.4562
-4.6241 2.6697 4.4562
0.0000 -5.3395 4.4562

***

| no. | energy relative to the elements (eV/atom) |
| --- | --- |
| 1 | -0.553 |
| 2 | -0.275 |